No. 1
# ZrBeAl2 | OQMD via LeMat-Bulk | GGA-PBE | relaxed
# uncorrected energy = -4.86 eV per atom
data_ZrBeAl2
_symmetry_space_group_name_H-M 'F -4 3 m'
_symmetry_Int_Tables_number 216
_symmetry_space_group_name_Hall 'F -4 2 3'
_cell_length_a 6.339
_cell_length_b 6.339
_cell_length_c 6.339
_cell_angle_alpha 90.00
_cell_angle_beta 90.00
_cell_angle_gamma 90.00
loop_
_atom_site_label
_atom_site_type_symbol
_atom_site_fract_x
_atom_site_fract_y
_atom_site_fract_z
Zr1 Zr 0.000 0.000 0.000
Be1 Be 0.250 0.250 0.750
Al1 Al 0.000 0.000 0.500
Al2 Al 0.250 0.250 0.250

No. 2
# Sc2ZnBi2 | OQMD via LeMat-Bulk | GGA-PBE | relaxed
# uncorrected energy = -4.49 eV per atom
data_Sc2ZnBi2
_symmetry_space_group_name_H-M 'I 4/m m m'
_symmetry_Int_Tables_number 139
_symmetry_space_group_name_Hall '-I 4 2'
_cell_length_a 5.135
_cell_length_b 5.135
_cell_length_c 12.123
_cell_angle_alpha 90.00
_cell_angle_beta 90.00
_cell_angle_gamma 90.00
loop_
_atom_site_label
_atom_site_type_symbol
_atom_site_fract_x
_atom_site_fract_y
_atom_site_fract_z
Sc1 Sc 0.000 0.500 0.250
Zn1 Zn 0.000 0.000 0.000
Bi1 Bi 0.000 0.000 0.368

No. 3
# BePtSO | OQMD via LeMat-Bulk | GGA-PBE | relaxed
# uncorrected energy = -4.75 eV per atom
data_BePtSO
_symmetry_space_group_name_H-M 'P 4/n m m'
_symmetry_Int_Tables_number 129
_cell_length_a 3.210
_cell_length_b 3.210
_cell_length_c 10.942
_cell_angle_alpha 90.00
_cell_angle_beta 90.00
_cell_angle_gamma 90.00
loop_
_symmetry_equiv_pos_as_xyz
'x,y,z'
'-x,-y,-z'
'-y+1/2,x,z'
'y+1/2,-x,-z'
'-x+1/2,-y+1/2,z'
'x+1/2,y+1/2,-z'
'y,-x+1/2,z'
'-y,x+1/2,-z'
'x+1/2,-y,-z'
'-x+1/2,y,z'
'-y,-x,-z'
'y,x,z'
'-x,y+1/2,-z'
'x,-y+1/2,z'
'y+1/2,x+1/2,-z'
'-y+1/2,-x+1/2,z'
loop_
_atom_site_label
_atom_site_type_symbol
_atom_site_fract_x
_atom_site_fract_y
_atom_site_fract_z
Be1 Be 0.250 0.750 0.000
Pt1 Pt 0.250 0.250 0.382
S1 S 0.250 0.250 0.882
O1 O 0.250 0.250 0.594

No. 4
# MgZrGaIr | OQMD via LeMat-Bulk | GGA-PBE | relaxed
# uncorrected energy = -5.84 eV per atom
data_MgZrGaIr
_symmetry_space_group_name_H-M 'F -4 3 m'
_symmetry_Int_Tables_number 216
_symmetry_space_group_name_Hall 'F -4 2 3'
_cell_length_a 6.438
_cell_length_b 6.438
_cell_length_c 6.438
_cell_angle_alpha 90.00
_cell_angle_beta 90.00
_cell_angle_gamma 90.00
loop_
_atom_site_label
_atom_site_type_symbol
_atom_site_fract_x
_atom_site_fract_y
_atom_site_fract_z
Mg1 Mg 0.000 0.000 0.000
Zr1 Zr 0.250 0.250 0.750
Ga1 Ga 0.000 0.000 0.500
Ir1 Ir 0.250 0.250 0.250

No. 5
# K2RbErF6 | OQMD via LeMat-Bulk | GGA-PBE | relaxed
# uncorrected energy = -5.21 eV per atom
data_K2RbErF6
_symmetry_space_group_name_H-M 'P -1'
_symmetry_Int_Tables_number 2
_symmetry_space_group_name_Hall '-P 1'
_cell_length_a 6.272
_cell_length_b 6.275
_cell_length_c 6.499
_cell_angle_alpha 90.35
_cell_angle_beta 118.85
_cell_angle_gamma 119.45
loop_
_atom_site_label
_atom_site_type_symbol
_atom_site_fract_x
_atom_site_fract_y
_atom_site_fract_z
K1 K 0.021 0.251 0.277
Rb1 Rb 0.500 0.500 0.000
Er1 Er 0.500 0.000 0.500
F1 F 0.051 0.845 0.363
F2 F 0.366 0.794 0.148
F3 F 0.480 0.683 0.632

No. 6
# LaGd2Mg3Ir2Pt | OQMD via LeMat-Bulk | GGA-PBE | relaxed
# uncorrected energy = -5.50 eV per atom
data_LaGd2Mg3Ir2Pt
_symmetry_space_group_name_H-M 'A m m 2'
_symmetry_Int_Tables_number 38
_symmetry_space_group_name_Hall 'A 2 -2'
_cell_length_a 4.082
_cell_length_b 12.817
_cell_length_c 7.462
_cell_angle_alpha 90.00
_cell_angle_beta 90.00
_cell_angle_gamma 90.00
loop_
_atom_site_label
_atom_site_type_symbol
_atom_site_fract_x
_atom_site_fract_y
_atom_site_fract_z
La1 La 0.000 0.000 0.000
Gd1 Gd 0.000 0.206 0.624
Mg1 Mg 0.500 0.000 0.660
Mg2 Mg 0.500 0.125 0.299
Ir1 Ir 0.500 0.169 0.919
Pt1 Pt 0.000 0.000 0.425

No. 7
# ZrZnCoW | OQMD via LeMat-Bulk | GGA-PBE | relaxed
# E_form = 137.9 kJ/mol of formula units
data_ZrZnCoW
_symmetry_space_group_name_H-M 'F -4 3 m'
_symmetry_Int_Tables_number 216
_symmetry_space_group_name_Hall 'F -4 2 3'
_cell_length_a 6.343
_cell_length_b 6.343
_cell_length_c 6.343
_cell_angle_alpha 90.00
_cell_angle_beta 90.00
_cell_angle_gamma 90.00
loop_
_atom_site_label
_atom_site_type_symbol
_atom_site_fract_x
_atom_site_fract_y
_atom_site_fract_z
Zr1 Zr 0.000 0.000 0.000
Zn1 Zn 0.250 0.250 0.250
Co1 Co 0.000 0.000 0.500
W1 W 0.250 0.250 0.750

No. 8
# AlCuMo4N2 | OQMD via LeMat-Bulk | GGA-PBE | relaxed
# uncorrected energy = -8.49 eV per atom
data_AlCuMo4N2
_symmetry_space_group_name_H-M 'P -6 m 2'
_symmetry_Int_Tables_number 187
_symmetry_space_group_name_Hall 'P -6 2'
_cell_length_a 2.8359
_cell_length_b 2.8359
_cell_length_c 14.5538
_cell_angle_alpha 90.00
_cell_angle_beta 90.00
_cell_angle_gamma 120.00
loop_
_atom_site_label
_atom_site_type_symbol
_atom_site_fract_x
_atom_site_fract_y
_atom_site_fract_z
Al1 Al 0.0000 0.0000 0.0000
Cu1 Cu 0.6667 0.3333 0.5000
Mo1 Mo 0.0000 0.0000 0.3486
Mo2 Mo 0.6667 0.3333 0.1549
N1 N 0.3333 0.6667 0.2513